Record 1
Ac5Pu2Te12 | GGA-PBE | optimized geometry

Structure (POSCAR):
```
Ac5Pu2Te12
1.0
9.121 -4.299 0.000
9.121 4.299 0.000
-3.174 0.000 10.012
Ac Pu Te
5 2 12
direct
0.000 0.000 0.000
0.297 0.297 0.141
0.316 0.316 0.672
0.684 0.684 0.328
0.703 0.703 0.859
0.256 0.744 0.500
0.744 0.256 0.500
0.004 0.004 0.312
0.088 0.568 0.413
0.104 0.600 0.934
0.400 0.896 0.066
0.432 0.912 0.587
0.494 0.494 0.284
0.506 0.506 0.716
0.568 0.088 0.413
0.600 0.104 0.934
0.896 0.400 0.066
0.912 0.432 0.587
0.996 0.996 0.688
```

Computed properties:
- Formation energy without anion corrections: -1.24 eV per atom

---

Record 2
AcPuTe3 | GGA-PBE | optimized geometry

Structure (POSCAR):
```
AcPuTe3
1.0
4.623 0.000 0.000
0.000 7.450 0.000
0.000 0.000 10.143
Ac Pu Te
2 2 6
direct
0.250 0.250 0.151
0.750 0.750 0.849
0.250 0.750 0.402
0.750 0.250 0.598
0.250 0.516 0.665
0.250 0.750 0.080
0.250 0.984 0.665
0.750 0.016 0.335
0.750 0.250 0.920
0.750 0.484 0.335
```

Computed properties:
- Formation energy without anion corrections: -1.27 eV per atom
- ΔE to the lowest computed polymorph: 0.033 eV per atom

---

Record 3
Ac4PuTe5 | GGA-PBE | optimized geometry

Structure (POSCAR):
```
Ac4PuTe5
1.0
2.340 1.351 19.054
-2.340 1.351 19.054
0.000 -2.702 19.054
Ac Pu Te
4 1 5
direct
0.103 0.103 0.103
0.299 0.299 0.299
0.701 0.701 0.701
0.897 0.897 0.897
0.500 0.500 0.500
0.000 0.000 0.000
0.196 0.196 0.196
0.402 0.402 0.402
0.598 0.598 0.598
0.804 0.804 0.804
```

Computed properties:
- Formation energy without anion corrections: -1.41 eV per atom
- ΔE to the lowest computed polymorph: 0.000 eV per atom

---

Record 4
AcPu3Te6 | GGA-PBE | optimized geometry

Structure (POSCAR):
```
AcPu3Te6
1.0
12.535 0.000 0.000
0.000 4.521 0.000
-4.249 0.000 12.431
Ac Pu Te
2 6 12
direct
0.053 0.250 0.200
0.947 0.750 0.800
0.155 0.250 0.583
0.319 0.750 0.002
0.449 0.250 0.337
0.551 0.750 0.663
0.681 0.250 0.998
0.845 0.750 0.417
0.088 0.750 0.408
0.122 0.250 0.965
0.199 0.750 0.748
0.271 0.750 0.231
0.387 0.250 0.548
0.486 0.250 0.113
0.514 0.750 0.887
0.613 0.750 0.452
0.729 0.250 0.769
0.801 0.250 0.252
0.878 0.750 0.035
0.912 0.250 0.592
```

Computed properties:
- Formation energy without anion corrections: -1.12 eV per atom